[1]
The following is a DFT calculation (meta-GGA SCAN) of Nb4NiP at its PBEsol-relaxed geometry.

Unit cell a=6.114 b=6.114 c=4.944 alpha=90.00 beta=90.00 gamma=90.00
Space group P4/mcc (No. 124)
Inequivalent atoms, fractional coordinates:
Nb (0.161, 0.338, 0.000) (multiplicity 8)
Ni (0.500, 0.500, 0.250) (multiplicity 2)
P (0.000, 0.000, 0.250) (multiplicity 2)

Summary:
**Energy of formation**: -0.489 eV/atom
**D(E_F)**: 8.9 states/eV/cell
**M_tot**: 0.0000 μB per atom


[2]
The following is a DFT calculation (meta-GGA SCAN) of NbNiP at its PBEsol-relaxed geometry.

Unit cell a=6.078 b=3.574 c=7.035 alpha=90.00 beta=90.00 gamma=90.00
Space group Pnma (No. 62)
Inequivalent atoms, fractional coordinates:
Nb (0.021, 0.250, 0.168) (multiplicity 4)
Ni (0.150, 0.250, 0.567) (multiplicity 4)
P (0.218, 0.750, 0.379) (multiplicity 4)

Summary:
**Energy of formation**: -0.877 eV/atom
**D(E_F)**: 2.6 states/eV/cell
**M_tot**: 0.0000 μB per atom


[3]
The following is a DFT calculation (meta-GGA SCAN) of Nb2Ni2Pd at its PBEsol-relaxed geometry.

Unit cell a=6.658 b=6.658 c=3.215 alpha=90.00 beta=90.00 gamma=90.00
Space group P4/mbm (No. 127)
Inequivalent atoms, fractional coordinates:
Nb (0.174, 0.326, 0.000) (multiplicity 4)
Ni (0.126, 0.626, 0.500) (multiplicity 4)
Pd (0.000, 0.000, 0.500) (multiplicity 2)

Summary:
**Energy of formation**: -0.252 eV/atom
**D(E_F)**: 7.4 states/eV/cell
**M_tot**: 0.0000 μB per atom


[4]
The following is a DFT calculation (meta-GGA SCAN) of NbNiPt3 at its PBEsol-relaxed geometry.

Unit cell a=4.440 b=4.440 c=4.440 alpha=90.00 beta=90.00 gamma=90.00
Space group Pm-3m (No. 221)
Inequivalent atoms, fractional coordinates:
Nb (0.000, 0.000, 0.000) (multiplicity 1)
Ni (0.500, 0.500, 0.500) (multiplicity 1)
Pt (0.000, 0.500, 0.500) (multiplicity 3)

Summary:
**Energy of formation**: 0.854 eV/atom
**D(E_F)**: 7.0 states/eV/cell
**M_tot**: 0.2399 μB per atom


[5]
The following is a DFT calculation (meta-GGA SCAN) of Nb2Ni2Pt at its PBEsol-relaxed geometry.

Unit cell a=6.588 b=6.588 c=3.278 alpha=90.00 beta=90.00 gamma=90.00
Space group P4/mbm (No. 127)
Inequivalent atoms, fractional coordinates:
Nb (0.175, 0.325, 0.000) (multiplicity 4)
Ni (0.127, 0.627, 0.500) (multiplicity 4)
Pt (0.000, 0.000, 0.500) (multiplicity 2)

Summary:
**Energy of formation**: -0.449 eV/atom
**D(E_F)**: 6.2 states/eV/cell
**M_tot**: 0.0000 μB per atom


[6]
The following is a DFT calculation (meta-GGA SCAN) of Nb2Ni2Rh at its PBEsol-relaxed geometry.

Unit cell a=6.670 b=6.670 c=3.145 alpha=90.00 beta=90.00 gamma=90.00
Space group P4/mbm (No. 127)
Inequivalent atoms, fractional coordinates:
Nb (0.177, 0.323, 0.000) (multiplicity 4)
Ni (0.125, 0.625, 0.500) (multiplicity 4)
Rh (0.000, 0.000, 0.500) (multiplicity 2)

Summary:
**Energy of formation**: -0.333 eV/atom
**D(E_F)**: 3.7 states/eV/cell
**M_tot**: 0.0000 μB per atom


[7]
The following is a DFT calculation (meta-GGA SCAN) of Nb4NiS8 at its PBEsol-relaxed geometry.

Unit cell a=6.6123 b=6.6123 c=11.5461 alpha=90.00 beta=90.00 gamma=120.00
Space group P6_3/mmc (No. 194)
Inequivalent atoms, fractional coordinates:
Nb (0.0000, 0.0000, 0.2500) (multiplicity 2)
Nb (0.0132, 0.5066, 0.2500) (multiplicity 6)
Ni (0.0000, 0.0000, 0.0000) (multiplicity 2)
S (0.1674, 0.3347, 0.6160) (multiplicity 12)
S (0.3333, 0.6667, 0.1093) (multiplicity 4)

Summary:
**D(E_F)**: 8.9 states/eV/cell
**M_tot**: 0.1126 μB per atom
**Formation energy without anion corrections**: -14.8 eV/f.u.


[8]
The following is a DFT calculation (meta-GGA SCAN) of Nb3NiS at its PBEsol-relaxed geometry.

Unit cell a=4.491 b=4.491 c=4.491 alpha=90.00 beta=90.00 gamma=90.00
Space group Pm-3m (No. 221)
Inequivalent atoms, fractional coordinates:
Nb (0.000, 0.000, 0.500) (multiplicity 3)
Ni (0.500, 0.500, 0.500) (multiplicity 1)
S (0.000, 0.000, 0.000) (multiplicity 1)

Summary:
**D(E_F)**: 6.6 states/eV/cell
**M_tot**: 0.0008 μB per atom
**Formation energy without anion corrections**: 2.2 eV/f.u.


[9]
The following is a DFT calculation (meta-GGA SCAN) of ScNbNi3 at its PBEsol-relaxed geometry.

Unit cell a=4.273 b=4.273 c=4.273 alpha=90.00 beta=90.00 gamma=90.00
Space group Pm-3m (No. 221)
Inequivalent atoms, fractional coordinates:
Sc (0.000, 0.000, 0.000) (multiplicity 1)
Nb (0.500, 0.500, 0.500) (multiplicity 1)
Ni (0.000, 0.000, 0.500) (multiplicity 3)

Summary:
**Energy of formation**: 0.987 eV/atom
**D(E_F)**: 5.4 states/eV/cell
**M_tot**: 0.4860 μB per atom


[10]
The following is a DFT calculation (meta-GGA SCAN) of SrScNbNi2 at its PBEsol-relaxed geometry.

Unit cell a=4.544 b=4.544 c=4.818 alpha=90.00 beta=90.00 gamma=90.00
Space group P4/mmm (No. 123)
Inequivalent atoms, fractional coordinates:
Sr (0.000, 0.000, 0.000) (multiplicity 1)
Sc (0.000, 0.000, 0.500) (multiplicity 1)
Nb (0.500, 0.500, 0.500) (multiplicity 1)
Ni (0.000, 0.500, 0.000) (multiplicity 2)

Summary:
**Energy of formation**: 1.797 eV/atom
**D(E_F)**: 3.6 states/eV/cell
**M_tot**: 0.4736 μB per atom


[11]
The following is a DFT calculation (meta-GGA SCAN) of Nb3NiSe6 at its PBEsol-relaxed geometry.

Unit cell a=5.9711 b=5.9711 c=12.1895 alpha=90.00 beta=90.00 gamma=120.00
Space group P6_322 (No. 182)
Inequivalent atoms, fractional coordinates:
Nb (0.0000, 0.0000, 0.0000) (multiplicity 2)
Nb (0.3333, 0.6667, 0.0009) (multiplicity 4)
Ni (0.3333, 0.6667, 0.2500) (multiplicity 2)
Se (0.0067, 0.3341, 0.8630) (multiplicity 12)

Summary:
**D(E_F)**: 9.2 states/eV/cell
**M_tot**: 0.1515 μB per atom
**Formation energy without anion corrections**: -8.6 eV/f.u.


[12]
The following is a DFT calculation (meta-GGA SCAN) of Nb4NiSe8 at its PBEsol-relaxed geometry.

Unit cell a=6.8835 b=6.8835 c=12.1481 alpha=90.00 beta=90.00 gamma=120.00
Space group P6_3/mmc (No. 194)
Inequivalent atoms, fractional coordinates:
Nb (0.0000, 0.0000, 0.2500) (multiplicity 2)
Nb (0.0188, 0.5094, 0.2500) (multiplicity 6)
Ni (0.0000, 0.0000, 0.0000) (multiplicity 2)
Se (0.1686, 0.3372, 0.6151) (multiplicity 12)
Se (0.3333, 0.6667, 0.1052) (multiplicity 4)

Summary:
**D(E_F)**: 9.2 states/eV/cell
**M_tot**: 0.1160 μB per atom
**Formation energy without anion corrections**: -11.6 eV/f.u.


[13]
The following is a DFT calculation (meta-GGA SCAN) of Nb3SiNi2 at its PBEsol-relaxed geometry.

Unit cell a=11.105 b=11.105 c=11.105 alpha=90.00 beta=90.00 gamma=90.00
Space group Fd-3m (No. 227, origin choice 2)
Inequivalent atoms, fractional coordinates:
Nb (0.077, 0.375, 0.375) (multiplicity 48)
Si (0.000, 0.000, 0.500) (multiplicity 16)
Ni (0.043, 0.043, 0.707) (multiplicity 32)

Summary:
**D(E_F)**: 69.4 states/eV/cell
**M_tot**: 0.0000 μB per atom
**Formation energy without anion corrections**: -2.5 eV/f.u.


[14]
The following is a DFT calculation (meta-GGA SCAN) of Nb2SiNi3 at its PBEsol-relaxed geometry.

Unit cell a=4.8119 b=4.8119 c=7.6181 alpha=90.00 beta=90.00 gamma=120.00
Space group P6_3/mmc (No. 194)
Inequivalent atoms, fractional coordinates:
Nb (0.3333, 0.6667, 0.0591) (multiplicity 4)
Si (0.0000, 0.0000, 0.0000) (multiplicity 2)
Ni (0.1691, 0.3381, 0.7500) (multiplicity 6)

Summary:
**D(E_F)**: 8.3 states/eV/cell
**M_tot**: 0.4935 μB per atom
**Formation energy without anion corrections**: -3.1 eV/f.u.


[15]
The following is a DFT calculation (meta-GGA SCAN) of Nb6Si7Ni16 at its PBEsol-relaxed geometry.

Unit cell a=11.147 b=11.147 c=11.147 alpha=90.00 beta=90.00 gamma=90.00
Space group Fm-3m (No. 225)
Inequivalent atoms, fractional coordinates:
Nb (0.000, 0.000, 0.203) (multiplicity 24)
Si (0.000, 0.000, 0.500) (multiplicity 4)
Si (0.000, 0.250, 0.250) (multiplicity 24)
Ni (0.117, 0.117, 0.383) (multiplicity 32)
Ni (0.169, 0.169, 0.169) (multiplicity 32)

Summary:
**D(E_F)**: 71.4 states/eV/cell
**M_tot**: 0.0000 μB per atom
**Formation energy without anion corrections**: -18.5 eV/f.u.


[16]
The following is a DFT calculation (meta-GGA SCAN) of Sr2NbNi at its PBEsol-relaxed geometry.

Unit cell a=7.504 b=7.504 c=7.504 alpha=90.00 beta=90.00 gamma=90.00
Space group Fm-3m (No. 225)
Inequivalent atoms, fractional coordinates:
Sr (0.250, 0.250, 0.250) (multiplicity 8)
Nb (0.000, 0.000, 0.000) (multiplicity 4)
Ni (0.000, 0.000, 0.500) (multiplicity 4)

Summary:
**Energy of formation**: 0.865 eV/atom
**D(E_F)**: 13.4 states/eV/cell
**M_tot**: 1.0702 μB per atom


[17]
The following is a DFT calculation (meta-GGA SCAN) of SrTi2NbNi at its PBEsol-relaxed geometry.

Unit cell a=4.758 b=4.758 c=4.896 alpha=90.00 beta=90.00 gamma=90.00
Space group P4/mmm (No. 123)
Inequivalent atoms, fractional coordinates:
Sr (0.000, 0.000, 0.000) (multiplicity 1)
Ti (0.000, 0.500, 0.500) (multiplicity 2)
Nb (0.500, 0.500, 0.500) (multiplicity 1)
Ni (0.500, 0.500, 0.000) (multiplicity 1)

Summary:
**Energy of formation**: 0.726 eV/atom
**D(E_F)**: 4.6 states/eV/cell
**M_tot**: 0.0001 μB per atom


[18]
The following is a DFT calculation (meta-GGA SCAN) of NbTcNiW2 at its PBEsol-relaxed geometry.

Unit cell a=4.389 b=4.389 c=4.476 alpha=90.00 beta=90.00 gamma=90.00
Space group P4/mmm (No. 123)
Inequivalent atoms, fractional coordinates:
Nb (0.000, 0.000, 0.000) (multiplicity 1)
Tc (0.500, 0.500, 0.000) (multiplicity 1)
Ni (0.000, 0.000, 0.500) (multiplicity 1)
W (0.000, 0.500, 0.500) (multiplicity 2)

Summary:
**Energy of formation**: 1.488 eV/atom
**D(E_F)**: 6.6 states/eV/cell
**M_tot**: 0.0001 μB per atom


[19]
The following is a DFT calculation (meta-GGA SCAN) of NbNiTe5 at its PBEsol-relaxed geometry.

Unit cell a=3.636 b=13.018 c=15.124 alpha=90.00 beta=90.00 gamma=90.00
Space group Cmcm (No. 63)
Inequivalent atoms, fractional coordinates:
Nb (0.000, 0.009, 0.250) (multiplicity 4)
Ni (0.000, 0.500, 0.000) (multiplicity 4)
Te (0.000, 0.105, 0.076) (multiplicity 8)
Te (0.000, 0.326, 0.750) (multiplicity 4)
Te (0.000, 0.396, 0.143) (multiplicity 8)

Summary:
**D(E_F)**: 7.2 states/eV/cell
**M_tot**: 0.0000 μB per atom
**Formation energy without anion corrections**: -2.5 eV/f.u.